This record from Alexandria describes a geometry-optimized Li2ZrF6 structure. The functional is PBE-GGA.

Lattice parameters (Å, degrees): 9.0102 9.0102 4.7178 90.00 90.00 120.00
Space group P-3m1 (No. 164)
Symmetry-distinct sites (fractional):
Li: 0.0000 0.3461 0.0000 (multiplicity 6)
Zr: 0.0000 0.0000 0.0000 (multiplicity 1)
Zr: 0.3333 0.6667 0.5071 (multiplicity 2)
F: 0.1138 0.2277 0.7869 (multiplicity 6)
F: 0.1179 0.5589 0.7607 (multiplicity 6)
F: 0.2274 0.4547 0.2515 (multiplicity 6)

## Properties
Energy above the lowest structure with this stoichiometry, eV/atom: 0.035
Formation energy from raw total energies, kJ per mole of atoms: -324.3
Electronic total energy, eV/cell: -161.57
Theoretical density, Mg/m³: 3.3



This record from Alexandria describes a geometry-optimized Tb5Sm4Er structure. The functional is PBE-GGA.

Lattice parameters (Å, degrees): 17.250 3.540 11.102 90.00 90.07 90.00
Space group C2/m (No. 12)
Symmetry-distinct sites (fractional):
Tb: 0.000 0.000 0.000 (multiplicity 2)
Tb: 0.173 0.500 0.552 (multiplicity 4)
Tb: 0.174 0.500 0.946 (multiplicity 4)
Sm: 0.029 0.500 0.749 (multiplicity 4)
Sm: 0.154 0.000 0.250 (multiplicity 4)
Er: 0.000 0.000 0.500 (multiplicity 2)

## Properties
Energy above the lowest structure with this stoichiometry, eV/atom: 0.000
Electronic total energy, eV/cell: -89.54
Energy of formation from the pure elements, eV/atom: 0.18
Theoretical density, Mg/m³: 7.7



This record from Alexandria describes a geometry-optimized Tb14ErTm structure. The functional is PBE-GGA.

Lattice parameters (Å, degrees): 7.097 7.097 10.015 90.00 90.00 90.00
Space group P4/mmm (No. 123)
Symmetry-distinct sites (fractional):
Tb: 0.000 0.000 0.000 (multiplicity 1)
Tb: 0.000 0.500 0.000 (multiplicity 2)
Tb: 0.000 0.500 0.500 (multiplicity 2)
Tb: 0.250 0.250 0.251 (multiplicity 8)
Tb: 0.500 0.500 0.000 (multiplicity 1)
Er: 0.000 0.000 0.500 (multiplicity 1)
Tm: 0.500 0.500 0.500 (multiplicity 1)

## Properties
Electronic total energy, eV/cell: -73.62
Energy of formation from the pure elements, eV/atom: 0.01
Theoretical density, Mg/m³: 8.4



This record from Alexandria describes a geometry-optimized Zr2SiTc2 structure. The functional is PBE-GGA.

Lattice parameters (Å, degrees): 6.386 6.386 4.398 90.00 90.00 90.00
Space group P4/mbm (No. 127)
Symmetry-distinct sites (fractional):
Zr: 0.181 0.319 0.000 (multiplicity 4)
Si: 0.000 0.000 0.500 (multiplicity 2)
Tc: 0.140 0.640 0.500 (multiplicity 4)

## Properties
Formation energy from raw total energies, kJ per mole of atoms: -29.8
Electronic total energy, eV/cell: -89.59
Theoretical density, Mg/m³: 7.5



Repeat the second record exactly.
This record from Alexandria describes a geometry-optimized Tb5Sm4Er structure. The functional is PBE-GGA.

Lattice parameters (Å, degrees): 17.250 3.540 11.102 90.00 90.07 90.00
Space group C2/m (No. 12)
Symmetry-distinct sites (fractional):
Tb: 0.000 0.000 0.000 (multiplicity 2)
Tb: 0.173 0.500 0.552 (multiplicity 4)
Tb: 0.174 0.500 0.946 (multiplicity 4)
Sm: 0.029 0.500 0.749 (multiplicity 4)
Sm: 0.154 0.000 0.250 (multiplicity 4)
Er: 0.000 0.000 0.500 (multiplicity 2)

## Properties
Energy above the lowest structure with this stoichiometry, eV/atom: 0.000
Electronic total energy, eV/cell: -89.54
Energy of formation from the pure elements, eV/atom: 0.18
Theoretical density, Mg/m³: 7.7



Q: What is the formula in the fourth record?
A: Zr2SiTc2